! Sm12Er5In2 PBE relaxed; values from VASP
! Formation enthalpy at 0 K   -0.006 eV per atom
! SG   No. 12
&SYSTEM
  ibrav = 0, nat = 19, ntyp = 3
/
ATOMIC_SPECIES
Sm 150.36 Sm.upf
Er 167.26 Er.upf
In 114.82 In.upf
ATOMIC_POSITIONS crystal
Sm 0.9172 0.8344 0.1151
Sm 0.0364 0.7017 0.7650
Sm 0.6653 0.7017 0.7650
Sm 0.1803 0.7516 0.3383
Sm 0.5712 0.7516 0.3383
Sm 0.4437 0.8875 0.6757
Sm 0.5563 0.1125 0.3243
Sm 0.8197 0.2484 0.6617
Sm 0.4288 0.2484 0.6617
Sm 0.9636 0.2983 0.2350
Sm 0.3347 0.2983 0.2350
Sm 0.0828 0.1656 0.8849
Er 0.2322 0.4644 0.5823
Er 0.3115 0.6230 0.9902
Er 0.0000 0.0000 0.5000
Er 0.6885 0.3770 0.0098
Er 0.7678 0.5356 0.4177
In 0.6761 0.0000 0.0000
In 0.3239 0.0000 0.0000
CELL_PARAMETERS angstrom
9.2967 0.0000 0.0000
-4.6483 7.6267 1.1312
0.0000 -1.6687 8.3627



! Mn2CuB2 PBE relaxed; values from VASP
! Formation enthalpy at 0 K   -0.196 eV per atom
! SG   No. 127
&SYSTEM
  ibrav = 0, nat = 10, ntyp = 3
/
ATOMIC_SPECIES
B 10.81 B.upf
Mn 54.94 Mn.upf
Cu 63.55 Cu.upf
ATOMIC_POSITIONS crystal
B 0.3855 0.8855 0.0000
B 0.8855 0.6145 0.0000
B 0.6145 0.1145 0.0000
B 0.1145 0.3855 0.0000
Mn 0.1692 0.6692 0.5000
Mn 0.6692 0.8308 0.5000
Mn 0.8308 0.3308 0.5000
Mn 0.3308 0.1692 0.5000
Cu 0.0000 0.0000 0.0000
Cu 0.5000 0.5000 0.0000
CELL_PARAMETERS angstrom
5.4930 0.0000 0.0000
0.0000 5.4930 0.0000
0.0000 0.0000 2.9664



! La2PmNd2Er PBE relaxed; values from VASP
! Formation enthalpy at 0 K   0.053 eV per atom
! SG   No. 26
&SYSTEM
  ibrav = 0, nat = 12, ntyp = 4
/
ATOMIC_SPECIES
La 138.91 La.upf
Pm 145.00 Pm.upf
Nd 144.24 Nd.upf
Er 167.26 Er.upf
ATOMIC_POSITIONS crystal
La 0.5000 0.0076 0.0010
La 0.0000 0.2583 0.1725
La 0.5000 0.5076 0.9990
La 0.0000 0.7583 0.8275
Pm 0.0000 0.0075 0.4995
Pm 0.0000 0.5075 0.5005
Nd 0.0000 0.2571 0.8349
Nd 0.5000 0.2579 0.3321
Nd 0.0000 0.7571 0.1651
Nd 0.5000 0.7579 0.6679
Er 0.5000 0.2572 0.6615
Er 0.5000 0.7572 0.3385
CELL_PARAMETERS angstrom
5.7945 0.0000 0.0000
0.0000 7.1456 0.0000
0.0000 0.0000 10.0701